An optimized crystal structure of RbSrNpCl6, computed with PBE-GGA.

Summary:
The calculation puts the final energy at -90.11 eV/cell. For the formation energy from raw total energies, the calculation gives -2043 meV per atom.

extended XYZ file:
```
18
Lattice="-3.202 -1.324 -6.657 7.365 -1.118 0.910 -2.469 -13.161 3.805" Properties=species:S:1:pos:R:3 pbc="T T T"
Rb 0.000 0.000 0.000
Rb -1.235 -6.580 1.902
Sr 3.225 -4.477 -0.661
Sr -1.531 -11.126 -1.281
Np -0.297 -4.546 -3.183
Np 1.991 -11.058 1.241
Cl 2.193 -3.384 -3.157
Cl -0.838 -3.546 -5.685
Cl 4.507 -9.998 0.929
Cl 2.532 -12.058 3.743
Cl 0.558 -5.643 -0.813
Cl 0.548 -6.738 -4.608
Cl 3.124 -13.244 0.023
Cl -2.813 -5.605 -2.871
Cl 1.146 -8.865 2.667
Cl -1.430 -2.359 -1.965
Cl 1.136 -9.961 -1.128
Cl -0.499 -12.220 1.216
```